Here is an optimized crystal structure of ZnSeBr2F from Alexandria via LeMat-Bulk. Energies are from PBE-GGA.

```
data_ZnSeBr2F
_space_group_name_H-M_alt 'P 4/m m m'
_space_group_IT_number 123
_space_group_name_Hall '-P 4 2'
_cell_length_a 5.7034
_cell_length_b 5.7034
_cell_length_c 3.9001
_cell_angle_alpha 90.00
_cell_angle_beta 90.00
_cell_angle_gamma 90.00
loop_
_atom_site_label
_atom_site_fract_x
_atom_site_fract_y
_atom_site_fract_z
Zn1 0.0000 0.0000 0.0000
Se1 0.5000 0.5000 0.0000
Br1 0.0000 0.5000 0.5000
F1 0.5000 0.5000 0.5000
```

Energy above the most stable polymorph in this dataset: 27.6 kJ/mol of atoms

Here is an optimized crystal structure of ZnSeBr2F from Alexandria via LeMat-Bulk. Energies are from PBE-GGA.

```
data_ZnSeBr2F
_space_group_name_H-M_alt 'P 4/m m m'
_space_group_IT_number 123
_space_group_name_Hall '-P 4 2'
_cell_length_a 5.7216
_cell_length_b 5.7216
_cell_length_c 3.6125
_cell_angle_alpha 90.00
_cell_angle_beta 90.00
_cell_angle_gamma 90.00
loop_
_atom_site_label
_atom_site_fract_x
_atom_site_fract_y
_atom_site_fract_z
Zn1 0.0000 0.0000 0.0000
Se1 0.5000 0.5000 0.0000
Br1 0.0000 0.5000 0.5000
F1 0.0000 0.0000 0.5000
```

Energy above the most stable polymorph in this dataset: 0.0 kJ/mol of atoms

Here is an optimized crystal structure of ZnSeBr2F from Alexandria via LeMat-Bulk. Energies are from PBE-GGA.

```
data_ZnSeBr2F
_space_group_name_H-M_alt 'P 4/m m m'
_space_group_IT_number 123
_space_group_name_Hall '-P 4 2'
_cell_length_a 5.0422
_cell_length_b 5.0422
_cell_length_c 5.2484
_cell_angle_alpha 90.00
_cell_angle_beta 90.00
_cell_angle_gamma 90.00
loop_
_atom_site_label
_atom_site_fract_x
_atom_site_fract_y
_atom_site_fract_z
Zn1 0.0000 0.0000 0.0000
Se1 0.0000 0.0000 0.5000
Br1 0.0000 0.5000 0.0000
F1 0.5000 0.5000 0.5000
```

Energy above the most stable polymorph in this dataset: 20.2 kJ/mol of atoms

Here is an optimized crystal structure of ZrSe2BrF from Alexandria via LeMat-Bulk. Energies are from PBE-GGA.

```
data_ZrSe2BrF
_space_group_name_H-M_alt 'P 4/m m m'
_space_group_IT_number 123
_space_group_name_Hall '-P 4 2'
_cell_length_a 5.2113
_cell_length_b 5.2113
_cell_length_c 5.2809
_cell_angle_alpha 90.00
_cell_angle_beta 90.00
_cell_angle_gamma 90.00
loop_
_atom_site_label
_atom_site_fract_x
_atom_site_fract_y
_atom_site_fract_z
Zr1 0.0000 0.0000 0.0000
Se1 0.0000 0.5000 0.0000
Br1 0.0000 0.0000 0.5000
F1 0.5000 0.5000 0.5000
```

Energy above the most stable polymorph in this dataset: 0.0 kJ/mol of atoms

Here is an optimized crystal structure of ZrSeBr2F from Alexandria via LeMat-Bulk. Energies are from PBE-GGA.

```
data_ZrSeBr2F
_space_group_name_H-M_alt 'P 4/m m m'
_space_group_IT_number 123
_space_group_name_Hall '-P 4 2'
_cell_length_a 5.2852
_cell_length_b 5.2852
_cell_length_c 5.2078
_cell_angle_alpha 90.00
_cell_angle_beta 90.00
_cell_angle_gamma 90.00
loop_
_atom_site_label
_atom_site_fract_x
_atom_site_fract_y
_atom_site_fract_z
Zr1 0.0000 0.0000 0.0000
Se1 0.0000 0.0000 0.5000
Br1 0.0000 0.5000 0.0000
F1 0.5000 0.5000 0.5000
```

Energy above the most stable polymorph in this dataset: 0.0 kJ/mol of atoms

Here is an optimized crystal structure of ZrSe2BrF from Alexandria via LeMat-Bulk. Energies are from PBE-GGA.

```
data_ZrSe2BrF
_space_group_name_H-M_alt 'P 4/m m m'
_space_group_IT_number 123
_space_group_name_Hall '-P 4 2'
_cell_length_a 4.4155
_cell_length_b 4.4155
_cell_length_c 5.2884
_cell_angle_alpha 90.00
_cell_angle_beta 90.00
_cell_angle_gamma 90.00
loop_
_atom_site_label
_atom_site_fract_x
_atom_site_fract_y
_atom_site_fract_z
Zr1 0.0000 0.0000 0.0000
Se1 0.0000 0.5000 0.5000
Br1 0.5000 0.5000 0.0000
F1 0.5000 0.5000 0.5000
```

Energy above the most stable polymorph in this dataset: 51.9 kJ/mol of atoms

Here is an optimized crystal structure of ZrSeBr2F from Alexandria via LeMat-Bulk. Energies are from PBE-GGA.

```
data_ZrSeBr2F
_space_group_name_H-M_alt 'P 4/m m m'
_space_group_IT_number 123
_space_group_name_Hall '-P 4 2'
_cell_length_a 5.2786
_cell_length_b 5.2786
_cell_length_c 3.9272
_cell_angle_alpha 90.00
_cell_angle_beta 90.00
_cell_angle_gamma 90.00
loop_
_atom_site_label
_atom_site_fract_x
_atom_site_fract_y
_atom_site_fract_z
Zr1 0.0000 0.0000 0.0000
Se1 0.5000 0.5000 0.0000
Br1 0.0000 0.5000 0.5000
F1 0.5000 0.5000 0.5000
```

Energy above the most stable polymorph in this dataset: 68.2 kJ/mol of atoms

Here is an optimized crystal structure of SiSnBr2F from Alexandria via LeMat-Bulk. Energies are from PBE-GGA.

```
data_SiSnBr2F
_space_group_name_H-M_alt 'P 4/m m m'
_space_group_IT_number 123
_space_group_name_Hall '-P 4 2'
_cell_length_a 5.8120
_cell_length_b 5.8120
_cell_length_c 3.7372
_cell_angle_alpha 90.00
_cell_angle_beta 90.00
_cell_angle_gamma 90.00
loop_
_atom_site_label
_atom_site_fract_x
_atom_site_fract_y
_atom_site_fract_z
Si1 0.0000 0.0000 0.0000
Sn1 0.5000 0.5000 0.0000
Br1 0.0000 0.5000 0.5000
F1 0.0000 0.0000 0.5000
```

Here is an optimized crystal structure of TlSiTeBrF from Alexandria via LeMat-Bulk. Energies are from PBE-GGA.

```
data_TlSiTeBrF
_space_group_name_H-M_alt 'P 1 m 1'
_space_group_IT_number 6
_cell_length_a 5.3187
_cell_length_b 4.9681
_cell_length_c 6.4340
_cell_angle_alpha 90.00
_cell_angle_beta 110.80
_cell_angle_gamma 90.00
loop_
_space_group_symop_operation_xyz
'x,y,z'
'x,-y,z'
loop_
_atom_site_label
_atom_site_fract_x
_atom_site_fract_y
_atom_site_fract_z
Tl1 0.0000 0.0000 0.0000
Si1 0.5464 0.5000 0.4438
Te1 0.7044 0.0000 0.4025
Br1 0.5104 0.5000 0.8005
F1 0.2208 0.5000 0.2868
```

Energy above the most stable polymorph in this dataset: 0.0 kJ/mol of atoms

Here is an optimized crystal structure of TlSiTeBrF from Alexandria via LeMat-Bulk. Energies are from PBE-GGA.

```
data_TlSiTeBrF
_space_group_name_H-M_alt 'C 1 m 1'
_space_group_IT_number 8
_cell_length_a 14.6604
_cell_length_b 3.8690
_cell_length_c 5.5647
_cell_angle_alpha 90.00
_cell_angle_beta 108.28
_cell_angle_gamma 90.00
loop_
_space_group_symop_operation_xyz
'x,y,z'
'x,-y,z'
'x+1/2,y+1/2,z'
'x+1/2,-y+1/2,z'
loop_
_atom_site_label
_atom_site_fract_x
_atom_site_fract_y
_atom_site_fract_z
Tl1 0.0000 0.0000 0.0000
Si1 0.3283 0.5000 0.2417
Te1 0.2305 0.0000 0.9750
Br1 0.4943 0.0000 0.5047
F1 0.3095 0.5000 0.5173
```

Energy above the most stable polymorph in this dataset: 10.9 kJ/mol of atoms

Here is an optimized crystal structure of TlSiTeBrF from Alexandria via LeMat-Bulk. Energies are from PBE-GGA.

```
data_TlSiTeBrF
_space_group_name_H-M_alt 'P 1'
_space_group_IT_number 1
_cell_length_a 3.8826
_cell_length_b 5.9484
_cell_length_c 6.6428
_cell_angle_alpha 78.31
_cell_angle_beta 82.37
_cell_angle_gamma 88.94
loop_
_space_group_symop_operation_xyz
'x,y,z'
loop_
_atom_site_label
_atom_site_fract_x
_atom_site_fract_y
_atom_site_fract_z
Tl1 0.0000 0.0000 0.0000
Si1 0.1551 0.2604 0.3957
Te1 0.6101 0.9826 0.5562
Br1 0.4803 0.5234 0.0819
F1 0.0878 0.4623 0.5316
```

Energy above the most stable polymorph in this dataset: 8.9 kJ/mol of atoms

Here is an optimized crystal structure of TlSiTeBrF from Alexandria via LeMat-Bulk. Energies are from PBE-GGA.

```
data_TlSiTeBrF
_space_group_name_H-M_alt 'P 1'
_space_group_IT_number 1
_cell_length_a 3.8976
_cell_length_b 4.8861
_cell_length_c 7.8001
_cell_angle_alpha 89.38
_cell_angle_beta 83.91
_cell_angle_gamma 89.80
loop_
_space_group_symop_operation_xyz
'x,y,z'
loop_
_atom_site_label
_atom_site_fract_x
_atom_site_fract_y
_atom_site_fract_z
Tl1 0.0000 0.0000 0.0000
Si1 0.8867 0.3840 0.4603
Te1 0.4510 0.4711 0.2314
Br1 0.5847 0.4648 0.7527
F1 0.9082 0.0491 0.4833
```

Energy above the most stable polymorph in this dataset: 8.4 kJ/mol of atoms

Here is an optimized crystal structure of TlSiTeBrF from Alexandria via LeMat-Bulk. Energies are from PBE-GGA.

```
data_TlSiTeBrF
_space_group_name_H-M_alt 'P 1 m 1'
_space_group_IT_number 6
_cell_length_a 5.9127
_cell_length_b 3.8207
_cell_length_c 7.0015
_cell_angle_alpha 90.00
_cell_angle_beta 111.08
_cell_angle_gamma 90.00
loop_
_space_group_symop_operation_xyz
'x,y,z'
'x,-y,z'
loop_
_atom_site_label
_atom_site_fract_x
_atom_site_fract_y
_atom_site_fract_z
Tl1 0.0000 0.0000 0.0000
Si1 0.9557 0.5000 0.6066
Te1 0.7467 0.0000 0.3640
Br1 0.3641 0.5000 0.6900
F1 0.2338 0.5000 0.1626
```

Energy above the most stable polymorph in this dataset: 32.9 kJ/mol of atoms

Here is an optimized crystal structure of TlSiTeBrF from Alexandria via LeMat-Bulk. Energies are from PBE-GGA.

```
data_TlSiTeBrF
_space_group_name_H-M_alt 'C 1 m 1'
_space_group_IT_number 8
_cell_length_a 10.6848
_cell_length_b 4.9325
_cell_length_c 6.6362
_cell_angle_alpha 90.00
_cell_angle_beta 113.44
_cell_angle_gamma 90.00
loop_
_space_group_symop_operation_xyz
'x,y,z'
'x,-y,z'
'x+1/2,y+1/2,z'
'x+1/2,-y+1/2,z'
loop_
_atom_site_label
_atom_site_fract_x
_atom_site_fract_y
_atom_site_fract_z
Tl1 0.0000 0.0000 0.0000
Si1 0.3471 0.0000 0.4372
Te1 0.2878 0.5000 0.2752
Br1 0.2827 0.0000 0.7389
F1 0.0131 0.5000 0.5752
```

Energy above the most stable polymorph in this dataset: 2.0 kJ/mol of atoms

Here is an optimized crystal structure of TlSiTeBrF from Alexandria via LeMat-Bulk. Energies are from PBE-GGA.

```
data_TlSiTeBrF
_space_group_name_H-M_alt 'P 1'
_space_group_IT_number 1
_cell_length_a 4.8969
_cell_length_b 5.4313
_cell_length_c 6.4892
_cell_angle_alpha 94.40
_cell_angle_beta 111.91
_cell_angle_gamma 90.20
loop_
_space_group_symop_operation_xyz
'x,y,z'
loop_
_atom_site_label
_atom_site_fract_x
_atom_site_fract_y
_atom_site_fract_z
Tl1 0.0000 0.0000 0.0000
Si1 0.2545 0.3679 0.5075
Te1 0.7301 0.1778 0.4594
Br1 0.4366 0.5651 0.8749
F1 0.1836 0.6119 0.3622
```

Energy above the most stable polymorph in this dataset: 3.6 kJ/mol of atoms

Here is an optimized crystal structure of Ti2SiBrF from Alexandria via LeMat-Bulk. Energies are from PBE-GGA.

```
data_Ti2SiBrF
_space_group_name_H-M_alt 'P 4/m m m'
_space_group_IT_number 123
_space_group_name_Hall '-P 4 2'
_cell_length_a 4.9034
_cell_length_b 4.9034
_cell_length_c 5.0555
_cell_angle_alpha 90.00
_cell_angle_beta 90.00
_cell_angle_gamma 90.00
loop_
_atom_site_label
_atom_site_fract_x
_atom_site_fract_y
_atom_site_fract_z
Ti1 0.0000 0.5000 0.0000
Si1 0.0000 0.0000 0.0000
Br1 0.0000 0.0000 0.5000
F1 0.5000 0.5000 0.5000
```

Here is an optimized crystal structure of Tl2SiBrF from Alexandria via LeMat-Bulk. Energies are from PBE-GGA.

```
data_Tl2SiBrF
_space_group_name_H-M_alt 'P 4/m m m'
_space_group_IT_number 123
_space_group_name_Hall '-P 4 2'
_cell_length_a 5.6917
_cell_length_b 5.6917
_cell_length_c 4.0598
_cell_angle_alpha 90.00
_cell_angle_beta 90.00
_cell_angle_gamma 90.00
loop_
_atom_site_label
_atom_site_fract_x
_atom_site_fract_y
_atom_site_fract_z
Tl1 0.0000 0.5000 0.0000
Si1 0.0000 0.0000 0.0000
Br1 0.5000 0.5000 0.5000
F1 0.0000 0.0000 0.5000
```

Here is an optimized crystal structure of ZnSiBrF2 from Alexandria via LeMat-Bulk. Energies are from PBE-GGA.

```
data_ZnSiBrF2
_space_group_name_H-M_alt 'P 4/m m m'
_space_group_IT_number 123
_space_group_name_Hall '-P 4 2'
_cell_length_a 4.3893
_cell_length_b 4.3893
_cell_length_c 5.2371
_cell_angle_alpha 90.00
_cell_angle_beta 90.00
_cell_angle_gamma 90.00
loop_
_atom_site_label
_atom_site_fract_x
_atom_site_fract_y
_atom_site_fract_z
Zn1 0.0000 0.0000 0.0000
Si1 0.5000 0.5000 0.0000
Br1 0.5000 0.5000 0.5000
F1 0.0000 0.5000 0.5000
```

Here is an optimized crystal structure of ZrSiBr2F from Alexandria via LeMat-Bulk. Energies are from PBE-GGA.

```
data_ZrSiBr2F
_space_group_name_H-M_alt 'P 4/m m m'
_space_group_IT_number 123
_space_group_name_Hall '-P 4 2'
_cell_length_a 5.4748
_cell_length_b 5.4748
_cell_length_c 3.6535
_cell_angle_alpha 90.00
_cell_angle_beta 90.00
_cell_angle_gamma 90.00
loop_
_atom_site_label
_atom_site_fract_x
_atom_site_fract_y
_atom_site_fract_z
Zr1 0.0000 0.0000 0.0000
Si1 0.5000 0.5000 0.0000
Br1 0.0000 0.5000 0.5000
F1 0.5000 0.5000 0.5000
```

Here is an optimized crystal structure of SmBrF from Alexandria via LeMat-Bulk. Energies are from PBE-GGA.

```
data_SmBrF
_space_group_name_H-M_alt 'C 1 2/m 1'
_space_group_IT_number 12
_cell_length_a 13.2939
_cell_length_b 3.7533
_cell_length_c 7.6786
_cell_angle_alpha 90.00
_cell_angle_beta 104.72
_cell_angle_gamma 90.00
loop_
_space_group_symop_operation_xyz
'x,y,z'
'-x,-y,-z'
'-x,y,-z'
'x,-y,z'
'x+1/2,y+1/2,z'
'-x+1/2,-y+1/2,-z'
'-x+1/2,y+1/2,-z'
'x+1/2,-y+1/2,z'
loop_
_atom_site_label
_atom_site_fract_x
_atom_site_fract_y
_atom_site_fract_z
Sm1 0.2066 0.0000 0.2581
Br1 0.1373 0.0000 0.8194
F1 0.1119 0.5000 0.1995
```

no.,formation energy from raw total energies (eV per atom),ρ (g/cm3)
1,0.145,4.23
2,-0.140,4.54
3,0.068,4.02
4,-0.602,4.03
5,-0.825,3.98
6,-0.065,5.61
7,-0.118,5.30
8,-0.367,4.28
9,-0.988,4.80
10,-0.875,5.09
11,-0.896,5.12
12,-0.901,5.16
13,-0.647,5.16
14,-0.967,4.75
15,-0.951,4.78
16,0.249,3.04
17,-0.708,6.76
18,0.003,3.48
19,-0.202,4.52
20,-2.429,4.47